MnSb after structural relaxation, computed with PBE.

Cell and atoms, written as POSCAR:
```
MnSb
1.0
3.3378 0.0000 0.0000
0.0000 3.3378 0.0000
0.0000 0.0000 7.3062
Mn Sb
2 2
Cartesian
0.0000 1.6689 0.6880
1.6689 0.0000 6.6182
0.0000 1.6689 5.2341
1.6689 0.0000 2.0721
```

Output
The energy relative to the elements, uncorrected is 104.5 meV/atom. As for the space-group type: No. 129. As for the density of states at the Fermi level: 2.87 states/eV/cell. For the magnetization, the calculation gives 1.348 μB per atom.